Computed, not measured: a crystal of Ca3MoOs relaxed with PBEsol at the meta-GGA SCAN level of DFT.

a = 5.3789 Å, b = 5.3789 Å, c = 5.3789 Å
α = 90.00°, β = 90.00°, γ = 90.00°
Positions (direct):
Ca: 0.0000 0.0000 0.5000
Ca: 0.0000 0.5000 0.0000
Ca: 0.5000 0.0000 0.0000
Mo: 0.5000 0.5000 0.5000
Os: 0.0000 0.0000 0.0000

Calculated values
Calculated volume ... 31.12 A^3/atom
Symmetry ... Pm-3m
Formation enthalpy at 0 K ... 1.044 eV/atom
Total energy ... -26.108 eV/atom